DFT (PBE-GGA) results for a geometry-optimized Na3Cd9Ge2 structure.

```
Na3Cd9Ge2
1.0
-2.405 5.596 6.260
2.405 -5.596 6.260
2.405 5.596 -6.260
Na Cd Ge
3 9 2
Cartesian
0.000 0.000 0.000
0.000 0.000 3.602
0.000 0.000 8.918
2.405 -1.432 1.611
2.405 -2.462 4.413
2.405 1.432 1.611
0.000 3.134 1.847
0.000 5.596 0.000
2.405 2.462 4.413
0.000 4.164 4.649
0.000 8.059 1.847
0.000 7.028 4.649
2.405 3.819 0.000
0.000 1.778 6.260
```

DFT formation energy	-32	kJ/mol of formula units
space-group type	Immm, No. 71

DFT (PBE-GGA) results for a geometry-optimized DyTmMg2Hg4 structure.

```
DyTmMg2Hg4
1.0
2.524 1.457 8.266
-2.524 1.457 8.266
0.000 -2.915 8.266
Dy Tm Mg Hg
1 1 2 4
Cartesian
0.000 0.000 0.000
0.000 0.000 12.399
0.000 0.000 6.196
0.000 0.000 18.602
0.000 0.000 3.114
0.000 0.000 9.333
0.000 0.000 15.465
0.000 0.000 21.684
```

DFT formation energy	-347	kJ/mol of formula units
space-group type	R-3m, No. 166

DFT (PBE-GGA) results for a geometry-optimized ZrI3 structure.

```
ZrI3
1.0
7.809 0.000 0.000
0.000 7.809 0.000
0.000 0.000 7.809
Zr I
4 12
Cartesian
0.000 0.000 0.000
0.000 3.904 3.904
3.904 0.000 3.904
3.904 3.904 0.000
0.000 0.000 3.904
0.000 3.904 0.000
1.952 1.952 1.952
1.952 1.952 5.856
1.952 5.856 1.952
1.952 5.856 5.856
3.904 0.000 0.000
3.904 3.904 3.904
5.856 1.952 1.952
5.856 1.952 5.856
5.856 5.856 1.952
5.856 5.856 5.856
```

space-group type	Fm-3m, No. 225
ΔE_f (raw)	33	meV/atom

DFT (PBE-GGA) results for a geometry-optimized Er5SiBi4 structure.

```
Er5SiBi4
1.0
-4.893 4.893 3.099
4.893 -4.893 3.099
4.893 4.893 -3.099
Er Si Bi
5 1 4
Cartesian
0.000 0.000 0.000
3.939 2.168 0.000
2.725 -0.953 3.099
2.168 5.846 0.000
0.953 2.725 3.099
0.000 0.000 3.099
6.800 0.896 0.000
0.896 2.986 0.000
3.997 1.907 3.099
-1.907 3.997 3.099
```

space-group type	I4/m, No. 87
ΔE_f (raw)	-734	meV/atom

DFT (PBE-GGA) results for a geometry-optimized KSrS2 structure.

```
KSrS2
1.0
3.886 0.000 0.000
0.000 3.886 0.000
0.000 0.000 6.971
K Sr S
1 1 2
Cartesian
0.000 0.000 0.000
0.000 0.000 3.486
1.943 1.943 2.025
1.943 1.943 4.946
```

space-group type	P4/mmm, No. 123
ΔE_f (raw)	-1254	meV/atom

DFT (PBE-GGA) results for a geometry-optimized RbBa2ZnIr structure.

```
RbBa2ZnIr
1.0
6.168 0.000 0.000
0.000 6.168 0.000
0.000 0.000 5.192
Rb Ba Zn Ir
1 2 1 1
Cartesian
0.000 0.000 0.000
0.000 3.084 2.596
3.084 0.000 2.596
3.084 3.084 0.000
3.084 3.084 2.596
```

DFT formation energy	14	kJ/mol of formula units
space-group type	P4/mmm, No. 123

DFT (PBE-GGA) results for a geometry-optimized CoRe3Ni structure.

```
CoRe3Ni
1.0
4.370 0.000 0.000
0.000 4.370 0.000
0.000 0.000 4.370
Co Re Ni
1 3 1
Cartesian
0.000 0.000 0.000
0.000 2.185 2.185
2.185 0.000 2.185
2.185 2.185 0.000
2.185 2.185 2.185
```

DFT formation energy	936	kJ/mol of formula units
space-group type	Pm-3m, No. 221
energy relative to the lowest polymorph listed for this composition	199.8	meV/atom

DFT (PBE-GGA) results for a geometry-optimized CeH8Pd6 structure.

```
CeH8Pd6
1.0
4.041 2.333 2.641
-4.041 2.333 2.641
0.000 -4.666 2.641
Ce H Pd
1 8 6
Cartesian
0.000 0.000 0.000
-0.752 -2.378 3.571
-2.435 -0.537 4.352
0.000 0.000 2.458
-1.683 1.840 3.571
1.683 -1.840 4.352
0.000 0.000 5.466
2.435 0.537 3.571
0.752 2.378 4.352
-1.826 0.229 2.746
0.714 -1.696 2.746
-1.112 -1.467 5.178
1.112 1.467 2.746
-0.714 1.696 5.178
1.826 -0.229 5.178
```

space-group type	R-3, No. 148
final energy	-67.2	eV for the cell shown

DFT (PBE-GGA) results for a geometry-optimized POsC structure.

```
POsC
1.0
5.091 0.000 0.000
0.000 2.770 0.000
-0.740 0.000 4.866
P Os C
2 2 2
Cartesian
0.000 0.000 0.000
2.546 1.385 0.000
0.080 0.000 2.266
2.626 1.385 2.266
0.166 1.385 4.030
2.711 0.000 4.030
```

DFT formation energy	183	kJ/mol of formula units
space-group type	Cm, No. 8
energy relative to the lowest polymorph listed for this composition	240.6	meV/atom

DFT (PBE-GGA) results for a geometry-optimized Te2PdRu structure.

```
Te2PdRu
1.0
6.744 0.000 0.000
0.000 6.744 0.000
0.000 0.000 6.744
Te Pd Ru
8 4 4
Cartesian
1.686 1.686 1.686
1.686 1.686 5.058
1.686 5.058 1.686
1.686 5.058 5.058
5.058 1.686 1.686
5.058 1.686 5.058
5.058 5.058 1.686
5.058 5.058 5.058
0.000 0.000 0.000
0.000 3.372 3.372
3.372 0.000 3.372
3.372 3.372 0.000
0.000 0.000 3.372
0.000 3.372 0.000
3.372 0.000 0.000
3.372 3.372 3.372
```

space-group type	Fm-3m, No. 225
energy relative to the lowest polymorph listed for this composition	95.7	meV/atom
ΔE_f (raw)	126	meV/atom

DFT (PBE-GGA) results for a geometry-optimized AcSmTe2S structure.

```
AcSmTe2S
1.0
4.612 0.000 0.000
0.000 4.612 0.000
0.000 0.000 16.059
Ac Sm Te S
2 2 4 2
Cartesian
1.153 1.153 1.747
3.459 3.459 14.312
1.153 1.153 9.775
3.459 3.459 6.284
1.153 1.153 6.506
1.153 1.153 12.727
3.459 3.459 3.332
3.459 3.459 9.553
1.153 3.459 0.000
3.459 1.153 0.000
```

space-group type	P4/nmm, No. 129
ΔE_f (raw)	-1594	meV/atom

DFT (PBE-GGA) results for a geometry-optimized Pm5Bi structure.

```
Pm5Bi
1.0
4.977 0.000 0.000
0.000 15.583 0.000
0.000 0.000 4.998
Pm Bi
10 2
Cartesian
0.000 0.000 0.000
0.000 2.523 2.499
0.000 5.221 0.000
0.000 10.362 0.000
0.000 13.059 2.499
2.489 2.571 0.000
2.489 5.268 2.499
2.489 7.791 0.000
2.489 10.315 2.499
2.489 13.012 0.000
0.000 7.791 2.499
2.489 0.000 2.499
```

DFT formation energy	-146	kJ/mol of formula units
space-group type	Cmmm, No. 65

DFT (PBE-GGA) results for a geometry-optimized Be2GaF8 structure.

```
Be2GaF8
1.0
3.786 -3.920 0.000
3.786 3.920 0.000
-0.045 0.000 4.697
Be Ga F
2 1 8
Cartesian
1.758 0.000 0.446
5.768 0.000 4.251
-0.023 0.000 2.349
2.730 2.735 3.467
1.413 0.000 3.641
4.796 2.735 1.230
3.276 0.000 0.837
4.250 0.000 3.860
2.730 -2.735 3.467
6.113 0.000 1.057
4.796 -2.735 1.230
```

space-group type	C2/m, No. 12
ΔE_f (raw)	-2595	meV/atom

DFT (PBE-GGA) results for a geometry-optimized Tb3Th2ScP6 structure.

```
Tb3Th2ScP6
1.0
8.793 -2.023 0.000
8.793 2.023 0.000
-1.874 0.000 7.837
Tb Th Sc P
3 2 1 6
Cartesian
0.000 0.000 0.000
4.614 0.000 5.215
11.098 0.000 2.622
5.598 0.000 1.350
10.114 0.000 6.486
-0.937 0.000 3.918
1.772 0.000 4.510
2.755 0.000 0.675
7.366 0.000 5.786
8.346 0.000 2.051
12.957 0.000 7.162
13.939 0.000 3.327
```

DFT formation energy	-1804	kJ/mol of formula units
space-group type	C2/m, No. 12

DFT (PBE-GGA) results for a geometry-optimized Pr4Re3N12 structure.

```
Pr4Re3N12
1.0
-4.361 4.361 4.361
4.361 -4.361 4.361
4.361 4.361 -4.361
Pr Re N
4 3 12
Cartesian
2.180 2.180 -2.180
2.180 -2.180 2.180
-2.180 2.180 2.180
2.180 2.180 2.180
4.361 0.000 0.000
0.000 4.361 0.000
0.000 0.000 4.361
2.971 1.285 0.000
5.750 1.285 0.000
4.361 -1.389 3.075
3.075 4.361 -1.389
1.285 0.000 2.971
0.000 2.971 1.285
4.361 1.389 3.075
3.075 4.361 1.389
1.285 0.000 5.750
0.000 5.750 1.285
-1.389 3.075 4.361
1.389 3.075 4.361
```

space-group type	Im-3, No. 204
ΔE_f (raw)	195	meV/atom

DFT (PBE-GGA) results for a geometry-optimized RbCe3F10 structure.

```
RbCe3F10
1.0
0.000 6.150 6.150
6.150 0.000 6.150
6.150 6.150 0.000
Rb Ce F
2 6 20
Cartesian
3.075 3.075 3.075
9.226 9.226 9.226
6.150 6.150 2.955
6.150 2.955 6.150
9.346 6.150 6.150
2.955 6.150 6.150
6.150 9.346 6.150
6.150 6.150 9.346
1.374 1.374 1.374
4.776 4.776 1.374
4.776 1.374 4.776
6.150 4.121 4.121
8.180 6.150 4.121
8.180 4.121 6.150
10.927 7.525 7.525
4.121 6.150 4.121
6.150 8.180 4.121
4.121 4.121 6.150
8.180 8.180 6.150
6.150 4.121 8.180
8.180 6.150 8.180
1.374 4.776 4.776
4.121 8.180 6.150
4.121 6.150 8.180
6.150 8.180 8.180
7.525 10.927 7.525
7.525 7.525 10.927
10.927 10.927 10.927
```

space-group type	Fm-3m, No. 225
ΔE_f (raw)	-3836	meV/atom

DFT (PBE-GGA) results for a geometry-optimized AgTeH structure.

```
AgTeH
1.0
3.229 0.000 0.000
-0.015 4.501 0.000
-1.405 -2.128 9.327
Ag Te H
2 2 2
Cartesian
0.104 0.061 4.174
1.704 2.312 5.153
0.093 2.310 2.503
1.715 0.063 6.825
1.395 4.310 0.253
0.413 -1.937 9.075
```

space-group type	P-1, No. 2
energy relative to the lowest polymorph listed for this composition	0.0	meV/atom

DFT (PBE-GGA) results for a geometry-optimized TePd8Au2 structure.

```
TePd8Au2
1.0
7.218 -2.065 0.000
7.218 2.065 0.000
-1.477 0.000 6.040
Te Pd Au
1 8 2
Cartesian
0.000 0.000 0.000
0.628 0.000 2.728
1.235 0.000 5.491
3.982 0.000 4.933
6.200 0.000 1.642
6.760 0.000 4.398
8.978 0.000 1.107
11.725 0.000 0.549
12.331 0.000 3.312
3.438 0.000 2.175
9.522 0.000 3.865
```

space-group type	C2/m, No. 12
energy relative to the lowest polymorph listed for this composition	0.0	meV/atom
ΔE_f (raw)	-136	meV/atom

DFT (PBE-GGA) results for a geometry-optimized In2PbO5 structure.

```
In2PbO5
1.0
2.076 -5.522 0.000
2.076 5.522 0.000
0.000 0.000 10.875
In Pb O
4 2 10
Cartesian
2.076 3.982 6.140
2.076 3.982 10.173
2.076 -3.982 0.702
2.076 -3.982 4.735
2.076 3.510 2.719
2.076 -3.510 8.156
2.076 5.002 1.211
2.076 5.002 4.227
2.076 2.903 8.156
2.076 2.216 0.841
2.076 2.216 4.596
2.076 -2.216 6.279
2.076 -2.216 10.034
2.076 -2.903 2.719
2.076 -5.002 6.649
2.076 -5.002 9.664
```

space-group type	Cmcm, No. 63
energy relative to the lowest polymorph listed for this composition	0.0	meV/atom
ΔE_f (raw)	-1276	meV/atom

DFT (PBE-GGA) results for a geometry-optimized CeNdCd17 structure.

```
CeNdCd17
1.0
5.046 2.913 4.993
-5.046 2.913 4.993
0.000 -5.827 4.993
Ce Nd Cd
1 1 17
Cartesian
0.000 0.000 0.000
0.000 0.000 9.936
-1.522 -2.621 4.989
-3.031 -0.008 4.989
-2.519 -1.454 7.790
0.000 0.000 3.518
0.000 -3.031 7.446
-2.625 1.515 7.446
1.522 -2.621 4.989
-1.509 2.629 4.989
0.000 0.000 6.528
-2.305 -1.331 12.225
3.031 -0.008 4.989
1.509 2.629 4.989
2.519 -1.454 7.790
0.000 2.909 7.790
2.625 1.515 7.446
2.305 -1.331 12.225
0.000 2.661 12.225
```

DFT formation energy	-251	kJ/mol of formula units
space-group type	R3m, No. 160